Model 1:
DFT (PBE) results for a geometry-optimized Ta3TiIn structure.

Geometry as CIF:
```
data_Ta3TiIn
_space_group_name_H-M_alt 'P 1'
_space_group_IT_number 1
_cell_length_a 4.9734
_cell_length_b 4.9734
_cell_length_c 4.9734
_cell_angle_alpha 90.00
_cell_angle_beta 90.00
_cell_angle_gamma 90.00
loop_
_space_group_symop_operation_xyz
'x,y,z'
loop_
_atom_site_label
_atom_site_fract_x
_atom_site_fract_y
_atom_site_fract_z
Ta1 0.0000 0.0000 0.5000
Ta2 0.0000 0.5000 0.0000
Ta3 0.5000 0.0000 0.0000
Ti1 0.5000 0.5000 0.5000
In1 0.0000 0.0000 0.0000
```

Model 2:
DFT (PBE) results for a geometry-optimized Ta3TiIn structure.

Geometry as CIF:
```
data_Ta3TiIn
_space_group_name_H-M_alt 'P 1'
_space_group_IT_number 1
_cell_length_a 4.7349
_cell_length_b 4.7349
_cell_length_c 4.7349
_cell_angle_alpha 90.00
_cell_angle_beta 90.00
_cell_angle_gamma 90.00
loop_
_space_group_symop_operation_xyz
'x,y,z'
loop_
_atom_site_label
_atom_site_fract_x
_atom_site_fract_y
_atom_site_fract_z
Ta1 0.0000 0.0000 0.5000
Ta2 0.0000 0.5000 0.0000
Ta3 0.5000 0.0000 0.0000
Ti1 0.0000 0.0000 0.0000
In1 0.5000 0.5000 0.5000
```

Energies relative to the most stable structure, in eV/atom: model 1 0.825; model 2 0.000.

Model 1:
DFT (PBE) results for a geometry-optimized TaTi4In structure.

Geometry as CIF:
```
data_TaTi4In
_space_group_name_H-M_alt 'P 1'
_space_group_IT_number 1
_cell_length_a 4.3813
_cell_length_b 4.3813
_cell_length_c 6.6965
_cell_angle_alpha 90.00
_cell_angle_beta 90.00
_cell_angle_gamma 90.00
loop_
_space_group_symop_operation_xyz
'x,y,z'
loop_
_atom_site_label
_atom_site_fract_x
_atom_site_fract_y
_atom_site_fract_z
Ta1 0.0000 0.0000 0.0000
Ti1 0.0000 0.5000 0.2250
Ti2 0.0000 0.5000 0.7750
Ti3 0.5000 0.0000 0.2250
Ti4 0.5000 0.0000 0.7750
In1 0.5000 0.5000 0.5000
```

Model 2:
DFT (PBE) results for a geometry-optimized TaTi4In structure.

Geometry as CIF:
```
data_TaTi4In
_space_group_name_H-M_alt 'P 1'
_space_group_IT_number 1
_cell_length_a 5.2728
_cell_length_b 5.2728
_cell_length_c 6.3944
_cell_angle_alpha 107.86
_cell_angle_beta 107.86
_cell_angle_gamma 39.73
loop_
_space_group_symop_operation_xyz
'x,y,z'
loop_
_atom_site_label
_atom_site_fract_x
_atom_site_fract_y
_atom_site_fract_z
Ta1 0.0000 0.0000 0.0000
Ti1 0.3278 0.3278 0.1546
Ti2 0.3313 0.3313 0.6767
Ti3 0.6687 0.6687 0.3233
Ti4 0.6722 0.6722 0.8454
In1 0.0000 0.0000 0.5000
```

Energies relative to the most stable structure, in eV/atom: model 1 0.613; model 2 0.000.

Model 1:
DFT (PBE) results for a geometry-optimized Ta3TlIn structure.

Geometry as CIF:
```
data_Ta3TlIn
_space_group_name_H-M_alt 'P 1'
_space_group_IT_number 1
_cell_length_a 5.0778
_cell_length_b 5.0778
_cell_length_c 5.0778
_cell_angle_alpha 90.00
_cell_angle_beta 90.00
_cell_angle_gamma 90.00
loop_
_space_group_symop_operation_xyz
'x,y,z'
loop_
_atom_site_label
_atom_site_fract_x
_atom_site_fract_y
_atom_site_fract_z
Ta1 0.0000 0.0000 0.5000
Ta2 0.0000 0.5000 0.0000
Ta3 0.5000 0.0000 0.0000
Tl1 0.0000 0.0000 0.0000
In1 0.5000 0.5000 0.5000
```

Model 2:
DFT (PBE) results for a geometry-optimized Ta3TlIn structure.

Geometry as CIF:
```
data_Ta3TlIn
_space_group_name_H-M_alt 'P 1'
_space_group_IT_number 1
_cell_length_a 5.0249
_cell_length_b 5.0249
_cell_length_c 5.0249
_cell_angle_alpha 90.00
_cell_angle_beta 90.00
_cell_angle_gamma 90.00
loop_
_space_group_symop_operation_xyz
'x,y,z'
loop_
_atom_site_label
_atom_site_fract_x
_atom_site_fract_y
_atom_site_fract_z
Ta1 0.0000 0.0000 0.5000
Ta2 0.0000 0.5000 0.0000
Ta3 0.5000 0.0000 0.0000
Tl1 0.5000 0.5000 0.5000
In1 0.0000 0.0000 0.0000
```

Energies relative to the most stable structure, in eV/atom: model 1 0.138; model 2 0.000.